[1]
## Cs5As5Se9 (GGA-PBEsol)

Data for Cs5As5Se9 after structural relaxation.

Its uncorrected formation energy is -0.629 eV per atom. The space group is No. 62. The crystal system is orthorhombic.

Unit cell a=7.969 b=12.207 c=26.718 alpha=90.00 beta=90.00 gamma=90.00
Element x y z (fractional)
1 As 0.514 0.086 0.117
2 Cs 0.945 0.865 0.945
3 Se 0.200 0.554 0.082
4 As 0.025 0.599 0.490
5 Cs 0.470 0.637 0.750
6 As 0.986 0.586 0.617
7 Se 0.700 0.946 0.418
8 Cs 0.024 0.781 0.350
9 Se 0.800 0.446 0.582
10 Se 0.200 0.554 0.418
11 Se 0.300 0.054 0.918
12 As 0.475 0.099 0.990
13 Cs 0.055 0.135 0.055
14 Cs 0.530 0.363 0.250
15 Se 0.235 0.355 0.955
16 Se 0.800 0.446 0.918
17 As 0.486 0.914 0.617
18 Cs 0.024 0.781 0.150
19 As 0.091 0.473 0.250
20 Se 0.765 0.645 0.455
21 Se 0.735 0.145 0.955
22 As 0.986 0.586 0.883
23 Se 0.765 0.645 0.045
24 Se 0.723 0.189 0.156
25 Cs 0.976 0.219 0.650
26 As 0.591 0.027 0.250
27 Se 0.874 0.512 0.313
28 Se 0.762 0.872 0.250
29 As 0.514 0.086 0.383
30 Se 0.262 0.628 0.250
31 Cs 0.524 0.719 0.150
32 Cs 0.030 0.137 0.250
33 Cs 0.476 0.281 0.650
34 Se 0.735 0.145 0.545
35 As 0.909 0.527 0.750
36 Cs 0.445 0.635 0.555
37 As 0.486 0.914 0.883
38 Cs 0.945 0.865 0.555
39 Cs 0.555 0.365 0.055
40 Se 0.626 0.012 0.687
41 Se 0.277 0.811 0.844
42 As 0.014 0.414 0.117
43 Se 0.126 0.488 0.813
44 Se 0.777 0.689 0.656
45 As 0.409 0.973 0.750
46 Se 0.374 0.988 0.187
47 Se 0.126 0.488 0.687
48 Se 0.626 0.012 0.813
49 Se 0.374 0.988 0.313
50 Cs 0.976 0.219 0.850
51 Se 0.238 0.128 0.750
52 Se 0.777 0.689 0.844
53 Cs 0.524 0.719 0.350
54 As 0.525 0.901 0.490
55 Cs 0.970 0.863 0.750
56 Se 0.223 0.311 0.156
57 Se 0.300 0.054 0.582
58 As 0.014 0.414 0.383
59 Se 0.277 0.811 0.656
60 Cs 0.476 0.281 0.850
61 Se 0.265 0.855 0.045
62 Se 0.700 0.946 0.082
63 Se 0.874 0.512 0.187
64 Cs 0.555 0.365 0.445
65 As 0.975 0.401 0.510
66 As 0.025 0.599 0.010
67 Se 0.723 0.189 0.344
68 Cs 0.445 0.635 0.945
69 Se 0.223 0.311 0.344
70 As 0.975 0.401 0.990
71 Cs 0.055 0.135 0.445
72 Se 0.235 0.355 0.545
73 Se 0.738 0.372 0.750
74 As 0.525 0.901 0.010
75 As 0.475 0.099 0.510
76 Se 0.265 0.855 0.455

***

[2]
## MgMn2CrF (GGA-PBEsol)

Data for MgMn2CrF after structural relaxation.

Its uncorrected formation energy is 0.332 eV per atom. The space group is No. 123. The crystal system is tetragonal.

Unit cell a=3.818 b=4.561 c=4.561 alpha=90.00 beta=90.00 gamma=90.00
Element x y z (fractional)
1 Mn 0.000 0.500 0.000
2 Mn 0.000 0.000 0.500
3 Mg 0.500 0.500 0.500
4 Cr 0.000 0.000 0.000
5 F 0.500 0.000 0.000

***

[3]
## Tc2AgRu (GGA-PBEsol)

Data for Tc2AgRu after structural relaxation.

The energy above the most stable polymorph in this dataset is 0.011 eV per atom. The space group is No. 25. The crystal system is orthorhombic. For the calculated formation energy, the calculation gives 0.320 eV/atom.

Unit cell a=2.719 b=4.356 c=4.802 alpha=90.00 beta=90.00 gamma=90.00
Element x y z (fractional)
1 Tc 0.000 0.000 0.035
2 Tc 0.000 0.500 0.729
3 Ag 0.500 0.000 0.534
4 Ru 0.500 0.500 0.202

***

[4]
## Cu3Pt2 (GGA-PBEsol)

Data for Cu3Pt2 after structural relaxation.

The energy above the most stable polymorph in this dataset is 0.019 eV per atom. The space group is No. 2. The crystal system is triclinic. For the calculated formation energy, the calculation gives -0.095 eV/atom.

Unit cell a=4.571 b=5.332 c=5.818 alpha=103.37 beta=96.79 gamma=106.89
Element x y z (fractional)
1 Cu 0.399 0.048 0.793
2 Pt 0.401 0.546 0.782
3 Cu 0.801 0.340 0.596
4 Pt 0.009 0.756 0.003
5 Pt 0.991 0.244 0.997
6 Cu 0.803 0.857 0.598
7 Cu 0.199 0.660 0.404
8 Pt 0.599 0.454 0.218
9 Cu 0.601 0.952 0.207
10 Cu 0.197 0.143 0.402

***

[5]
## MnAg2Mo (GGA-PBEsol)

Data for MnAg2Mo after structural relaxation.

The energy above the most stable polymorph in this dataset is 0.232 eV per atom. The space group is No. 47. The crystal system is orthorhombic. For the calculated formation energy, the calculation gives 0.551 eV/atom.

Unit cell a=2.875 b=4.434 c=4.820 alpha=90.00 beta=90.00 gamma=90.00
Element x y z (fractional)
1 Mn 0.500 0.000 0.500
2 Mo 0.000 0.500 0.500
3 Ag 0.500 0.500 0.000
4 Ag 0.000 0.000 0.000

***

[6]
## NiAu3Br (GGA-PBEsol)

Data for NiAu3Br after structural relaxation.

Its uncorrected formation energy is 0.808 eV per atom. The space group is No. 221. The crystal system is cubic.

Unit cell a=4.707 b=4.707 c=4.707 alpha=90.00 beta=90.00 gamma=90.00
Element x y z (fractional)
1 Au 0.000 0.500 0.000
2 Au 0.500 0.000 0.000
3 Au 0.000 0.000 0.500
4 Ni 0.000 0.000 0.000
5 Br 0.500 0.500 0.500

***

[7]
## YFe2Co (GGA-PBEsol)

Data for YFe2Co after structural relaxation.

The space group is No. 166. The crystal system is trigonal. For the calculated formation energy, the calculation gives 0.607 eV/atom.

Unit cell a=2.843 b=2.843 c=8.627 alpha=80.52 beta=80.52 gamma=60.00
Element x y z (fractional)
1 Y 0.000 0.000 0.000
2 Fe 0.764 0.764 0.708
3 Co 0.500 0.500 0.500
4 Fe 0.236 0.236 0.292

***

[8]
## RbMoAs2 (GGA-PBEsol)

Data for RbMoAs2 after structural relaxation.

The space group is No. 141. The crystal system is tetragonal. For the calculated formation energy, the calculation gives 0.013 eV/atom.

Unit cell a=6.259 b=6.259 c=8.245 alpha=112.31 beta=112.31 gamma=90.00
Element x y z (fractional)
1 Mo 0.250 0.750 0.500
2 As 0.125 0.375 0.250
3 As 0.625 0.875 0.750
4 As 0.125 0.875 0.250
5 Rb 0.750 0.250 0.500
6 As 0.125 0.875 0.750
7 Mo 0.000 0.000 0.000
8 Rb 0.500 0.500 0.000

***

[9]
## Li2OsIF (GGA-PBEsol)

Data for Li2OsIF after structural relaxation.

Its uncorrected formation energy is 0.558 eV per atom. The space group is No. 123. The crystal system is tetragonal.

Unit cell a=4.857 b=5.312 c=5.312 alpha=90.00 beta=90.00 gamma=90.00
Element x y z (fractional)
1 Os 0.500 0.000 0.000
2 I 0.000 0.000 0.000
3 Li 0.000 0.000 0.500
4 Li 0.000 0.500 0.000
5 F 0.500 0.500 0.500

***

[10]
## Rb3AlBr6 (GGA-PBEsol)

Data for Rb3AlBr6 after structural relaxation.

Its uncorrected formation energy is -1.449 eV per atom. The space group is No. 225. The crystal system is cubic.

Unit cell a=7.976 b=7.976 c=7.976 alpha=60.00 beta=60.00 gamma=60.00
Element x y z (fractional)
1 Br 0.221 0.221 0.779
2 Rb 0.250 0.250 0.250
3 Br 0.779 0.779 0.221
4 Br 0.221 0.779 0.779
5 Br 0.779 0.221 0.221
6 Br 0.779 0.221 0.779
7 Br 0.221 0.779 0.221
8 Rb 0.750 0.750 0.750
9 Al 0.000 0.000 0.000
10 Rb 0.500 0.500 0.500

***

[11]
## Y2BeZnAu (GGA-PBEsol)

Data for Y2BeZnAu after structural relaxation.

The space group is No. 123. The crystal system is tetragonal. For the calculated formation energy, the calculation gives 0.396 eV/atom.

Unit cell a=4.677 b=5.406 c=5.406 alpha=90.00 beta=90.00 gamma=90.00
Element x y z (fractional)
1 Zn 0.500 0.000 0.000
2 Y 0.000 0.500 0.000
3 Y 0.000 0.000 0.500
4 Be 0.500 0.500 0.500
5 Au 0.000 0.000 0.000

***

[12]
## KFeBr (GGA-PBEsol)

Data for KFeBr after structural relaxation.

Its uncorrected formation energy is 0.327 eV per atom. The space group is No. 107. The crystal system is tetragonal.

Unit cell a=3.366 b=3.366 c=6.816 alpha=104.29 beta=104.29 gamma=90.00
Element x y z (fractional)
1 K 0.342 0.342 0.683
2 Br 0.027 0.027 0.055
3 Fe 0.631 0.631 0.262

***

[13]
## Co2ReRh (GGA-PBEsol)

Data for Co2ReRh after structural relaxation.

The energy above the most stable polymorph in this dataset is 0.000 eV per atom. The space group is No. 119. The crystal system is tetragonal. For the calculated formation energy, the calculation gives -0.001 eV/atom.

Unit cell a=3.616 b=3.616 c=4.478 alpha=113.82 beta=113.82 gamma=90.00
Element x y z (fractional)
1 Rh 0.250 0.750 0.500
2 Co 0.000 0.000 0.000
3 Re 0.500 0.500 0.000
4 Co 0.750 0.250 0.500

***

[14]
## YAgF2 (GGA-PBEsol)

Data for YAgF2 after structural relaxation.

The energy above the most stable polymorph in this dataset is 0.220 eV per atom. Its uncorrected formation energy is -1.675 eV per atom. The space group is No. 166. The crystal system is trigonal.

Unit cell a=3.873 b=3.873 c=6.535 alpha=72.76 beta=72.76 gamma=60.00
Element x y z (fractional)
1 F 0.114 0.114 0.658
2 Ag 0.500 0.500 0.500
3 Y 0.000 0.000 0.000
4 F 0.886 0.886 0.342

***

[15]
## ZrTaIn (GGA-PBEsol)

Data for ZrTaIn after structural relaxation.

The energy above the most stable polymorph in this dataset is 0.049 eV per atom. The space group is No. 107. The crystal system is tetragonal. For the calculated formation energy, the calculation gives 0.000 eV/atom.

Unit cell a=3.556 b=3.556 c=5.385 alpha=109.28 beta=109.28 gamma=90.00
Element x y z (fractional)
1 Zr 0.329 0.329 0.658
2 In 0.005 0.005 0.009
3 Ta 0.666 0.666 0.332

***

[16]
## CaTl2WC (GGA-PBEsol)

Data for CaTl2WC after structural relaxation.

The space group is No. 123. The crystal system is tetragonal. For the calculated formation energy, the calculation gives 2.447 eV/atom.

Unit cell a=4.065 b=5.630 c=5.630 alpha=90.00 beta=90.00 gamma=90.00
Element x y z (fractional)
1 Tl 0.000 0.000 0.500
2 Ca 0.000 0.000 0.000
3 C 0.500 0.000 0.000
4 W 0.500 0.500 0.500
5 Tl 0.000 0.500 0.000

***

[17]
## Ba3OsS (GGA-PBEsol)

Data for Ba3OsS after structural relaxation.

Its uncorrected formation energy is 0.019 eV per atom. The space group is No. 221. The crystal system is cubic.

Unit cell a=5.749 b=5.749 c=5.749 alpha=90.00 beta=90.00 gamma=90.00
Element x y z (fractional)
1 S 0.500 0.500 0.500
2 Os 0.000 0.000 0.000
3 Ba 0.500 0.000 0.000
4 Ba 0.000 0.000 0.500
5 Ba 0.000 0.500 0.000

***

[18]
## LaYCd2O (GGA-PBEsol)

Data for LaYCd2O after structural relaxation.

Its uncorrected formation energy is -0.754 eV per atom. The space group is No. 123. The crystal system is tetragonal.

Unit cell a=4.297 b=5.454 c=5.454 alpha=90.00 beta=90.00 gamma=90.00
Element x y z (fractional)
1 Y 0.500 0.500 0.500
2 Cd 0.000 0.000 0.500
3 Cd 0.000 0.500 0.000
4 O 0.000 0.000 0.000
5 La 0.500 0.000 0.000

***

[19]
## SrMnRh2 (GGA-PBEsol)

Data for SrMnRh2 after structural relaxation.

The energy above the most stable polymorph in this dataset is 0.167 eV per atom. The space group is No. 216. The crystal system is cubic. For the calculated formation energy, the calculation gives 0.481 eV/atom.

Unit cell a=4.597 b=4.597 c=4.597 alpha=60.00 beta=60.00 gamma=60.00
Element x y z (fractional)
1 Sr 0.250 0.250 0.250
2 Rh 0.000 0.000 0.000
3 Mn 0.500 0.500 0.500
4 Rh 0.750 0.750 0.750

***

[20]
## LiZr2Br (GGA-PBEsol)

Data for LiZr2Br after structural relaxation.

The energy above the most stable polymorph in this dataset is 0.000 eV per atom. Its uncorrected formation energy is -0.377 eV per atom. The space group is No. 160. The crystal system is trigonal.

Unit cell a=3.335 b=3.335 c=9.395 alpha=79.78 beta=79.78 gamma=60.00
Element x y z (fractional)
1 Zr 0.756 0.756 0.731
2 Zr 0.004 0.004 0.989
3 Li 0.244 0.244 0.269
4 Br 0.496 0.496 0.511